# 1
Below is an optimized crystal structure of LiVCo4, with properties calculated at the PBE-GGA level.

abc: 4.6560 4.6560 4.6560
angles: 60.00 60.00 60.00
With the nearest neighbours (Å) after each atom.
Element x y z (fractional)
Li (0.0000, 0.0000, 0.0000)  12 Co 2.73, 4 V 2.85
V (0.2500, 0.2500, 0.2500)  12 Co 2.73, 4 Li 2.85
Co (0.1241, 0.6253, 0.6253)  6 Co 2.32-2.33
Co (0.6253, 0.1241, 0.6253)  6 Co 2.32-2.33
Co (0.6253, 0.6253, 0.1241)  6 Co 2.32-2.33
Co (0.6253, 0.6253, 0.6253)  6 Co 2.32-2.33

Output
Total energy, eV per atom: -6.500
DOS(E_F), states/eV/atom: 1.27
Crystal system: cubic
SG: F-43m
Mass density, g/cm3: 6.8



# 2
Below is an optimized crystal structure of YTm6Mg12, with properties calculated at the PBE-GGA level.

abc: 8.7265 8.7265 8.7265
angles: 106.58 106.58 106.58
With the nearest neighbours (Å) after each atom.
Element x y z (fractional)
Y (0.0000, 0.0000, 0.0000)  6 Mg 3.22
Tm (0.2836, 0.6867, 0.6867)  8 Mg 3.16-3.37, 2 Tm 3.42
Tm (0.3133, 0.3133, 0.7164)  8 Mg 3.16-3.37, 2 Tm 3.42
Tm (0.3133, 0.7164, 0.3133)  8 Mg 3.16-3.37, 2 Tm 3.42
Tm (0.6867, 0.2836, 0.6867)  8 Mg 3.16-3.37, 2 Tm 3.42
Tm (0.6867, 0.6867, 0.2836)  8 Mg 3.16-3.37, 2 Tm 3.42
Tm (0.7164, 0.3133, 0.3133)  8 Mg 3.16-3.37, 2 Tm 3.42
Mg (0.1068, 0.5000, 0.8932)  3 Mg 2.99-3.29, 4 Tm 3.18-3.25
Mg (0.1068, 0.8932, 0.5000)  3 Mg 2.99-3.29, 4 Tm 3.18-3.25
Mg (0.1186, 0.3433, 0.3433)  4 Mg 3.14-3.29, 4 Tm 3.16-3.37, 1 Y 3.22
Mg (0.3433, 0.1186, 0.3433)  4 Mg 3.14-3.29, 4 Tm 3.16-3.37, 1 Y 3.22
Mg (0.3433, 0.3433, 0.1186)  4 Mg 3.14-3.29, 4 Tm 3.16-3.37, 1 Y 3.22
Mg (0.5000, 0.1068, 0.8932)  3 Mg 2.99-3.29, 4 Tm 3.18-3.25
Mg (0.5000, 0.8932, 0.1068)  3 Mg 2.99-3.29, 4 Tm 3.18-3.25
Mg (0.6567, 0.6567, 0.8814)  4 Mg 3.14-3.29, 4 Tm 3.16-3.37, 1 Y 3.22
Mg (0.6567, 0.8814, 0.6567)  4 Mg 3.14-3.29, 4 Tm 3.16-3.37, 1 Y 3.22
Mg (0.8814, 0.6567, 0.6567)  4 Mg 3.14-3.29, 4 Tm 3.16-3.37, 1 Y 3.22
Mg (0.8932, 0.1068, 0.5000)  3 Mg 2.99-3.29, 4 Tm 3.18-3.25
Mg (0.8932, 0.5000, 0.1068)  3 Mg 2.99-3.29, 4 Tm 3.18-3.25

Output
Total energy, eV per atom: -2.450
DOS(E_F), states/eV/atom: 0.80
Crystal system: trigonal
SG: R-3m
Mass density, g/cm3: 4.1



# 3
Below is an optimized crystal structure of TcMo, with properties calculated at the PBE-GGA level.

abc: 3.9191 3.9191 5.2956
angles: 90.00 90.00 120.00
With the nearest neighbours (Å) after each atom.
Element x y z (fractional)
Tc (0.3333, 0.6667, 0.2500)  6 Mo 2.62
Tc (0.6667, 0.3333, 0.7500)  6 Mo 2.62
Mo (0.0000, 0.0000, 0.0000)  6 Tc 2.62, 2 Mo 2.65
Mo (0.0000, 0.0000, 0.5000)  6 Tc 2.62, 2 Mo 2.65

Output
Total energy, eV per atom: -9.707
DOS(E_F), states/eV/atom: 0.78
Crystal system: hexagonal
SG: P6_3/mmc
Mass density, g/cm3: 9.1
ΔE to the lowest computed polymorph, eV per atom: 0.816



# 4
Below is an optimized crystal structure of SmGa2Br8, with properties calculated at the PBE-GGA level.

abc: 8.3075 8.3075 6.8805
angles: 99.04 99.04 74.93
With the nearest neighbours (Å) after each atom.
Element x y z (fractional)
Sm (0.0000, 0.0000, 0.0000)  6 Br 2.89-2.90
Ga (0.2035, 0.2035, 0.6709)  4 Br 2.34-2.52
Ga (0.7965, 0.7965, 0.3291)  4 Br 2.34-2.52
Br (0.0837, 0.7146, 0.2207)  1 Ga 2.50
Br (0.1890, 0.1890, 0.2996)  1 Ga 2.52
Br (0.2854, 0.9163, 0.7793)  1 Ga 2.50
Br (0.3786, 0.3786, 0.8260)  1 Ga 2.34
Br (0.6214, 0.6214, 0.1740)  1 Ga 2.34
Br (0.7146, 0.0837, 0.2207)  1 Ga 2.50
Br (0.8110, 0.8110, 0.7004)  1 Ga 2.52
Br (0.9163, 0.2854, 0.7793)  1 Ga 2.50

Output
Total energy, eV per atom: -3.266
DOS(E_F), states/eV/atom: 0.42
Crystal system: monoclinic
SG: C2/m
ΔE_f (raw), eV/atom: -1.07
Mass density, g/cm3: 3.4



# 5
Below is an optimized crystal structure of Dy2Pd8Pt, with properties calculated at the PBE-GGA level.

abc: 7.3751 7.3751 5.3195
angles: 96.72 96.72 43.07
With the nearest neighbours (Å) after each atom.
Element x y z (fractional)
Dy (0.1838, 0.1838, 0.3354)  1 Pt 2.77, 8 Pd 2.82-3.05
Dy (0.8162, 0.8162, 0.6646)  1 Pt 2.77, 8 Pd 2.82-3.05
Pd (0.1726, 0.6595, 0.1088)  7 Pd 2.64-2.95, 1 Pt 2.64, 1 Dy 2.93
Pd (0.2547, 0.2547, 0.8569)  5 Pd 2.70-2.77, 2 Dy 2.82-2.84
Pd (0.3405, 0.8274, 0.8912)  7 Pd 2.64-2.95, 1 Pt 2.64, 1 Dy 2.93
Pd (0.4133, 0.4133, 0.6031)  8 Pd 2.70-2.99
Pd (0.5867, 0.5867, 0.3969)  8 Pd 2.70-2.99
Pd (0.6595, 0.1726, 0.1088)  7 Pd 2.64-2.95, 1 Pt 2.64, 1 Dy 2.93
Pd (0.7453, 0.7453, 0.1431)  5 Pd 2.70-2.77, 2 Dy 2.82-2.84
Pd (0.8274, 0.3405, 0.8912)  7 Pd 2.64-2.95, 1 Pt 2.64, 1 Dy 2.93
Pt (0.0000, 0.0000, 0.5000)  4 Pd 2.64, 2 Dy 2.77

Output
Total energy, eV per atom: -5.662
DOS(E_F), states/eV/atom: 0.65
Crystal system: monoclinic
SG: C2/m
Mass density, g/cm3: 11.6
ΔE to the lowest computed polymorph, eV per atom: 0.020



# 6
Below is an optimized crystal structure of CaBeRuO2, with properties calculated at the PBE-GGA level.

abc: 4.0976 4.0976 4.0520
angles: 90.00 90.00 90.00
With the nearest neighbours (Å) after each atom.
Element x y z (fractional)
Ca (0.0000, 0.0000, 0.0000)  8 O 2.88, 4 Be 2.90
Be (0.5000, 0.5000, 0.0000)  2 Ru 2.03
Ru (0.5000, 0.5000, 0.5000)  2 Be 2.03, 4 O 2.05
O (0.0000, 0.5000, 0.5000)  2 Ru 2.05
O (0.5000, 0.0000, 0.5000)  2 Ru 2.05

Output
Total energy, eV per atom: -5.574
DOS(E_F), states/eV/atom: 0.85
Crystal system: tetragonal
SG: P4/mmm
ΔE_f (raw), eV/atom: -0.59
Mass density, g/cm3: 4.4



# 7
Below is an optimized crystal structure of SrMnAs2Se, with properties calculated at the PBE-GGA level.

abc: 5.6300 5.6300 5.6069
angles: 90.00 90.00 90.00
With the nearest neighbours (Å) after each atom.
Element x y z (fractional)
Sr (0.0000, 0.0000, 0.0000)  2 Se 2.80, 4 As 2.82
Mn (0.5000, 0.5000, 0.5000)  8 As 3.97, 4 Se 3.98
As (0.0000, 0.5000, 0.0000)  2 Sr 2.82
As (0.5000, 0.0000, 0.0000)  2 Sr 2.82
Se (0.0000, 0.0000, 0.5000)  2 Sr 2.80

Output
Total energy, eV per atom: -3.767
DOS(E_F), states/eV/atom: 1.06
Crystal system: tetragonal
SG: P4/mmm
ΔE_f (raw), eV/atom: 0.96
Mass density, g/cm3: 3.5
ΔE to the lowest computed polymorph, eV per atom: 1.428



# 8
Below is an optimized crystal structure of Fe21Tc2B6, with properties calculated at the PBE-GGA level.

abc: 7.4797 7.4797 7.4797
angles: 60.00 60.00 60.00
With the nearest neighbours (Å) after each atom.
Element x y z (fractional)
Fe (0.0000, 0.0000, 0.0000)  12 Fe 2.56
Fe (0.0000, 0.0000, 0.3426)  2 B 2.12, 1 Fe 2.36
Fe (0.0000, 0.0000, 0.6574)  2 B 2.12, 1 Fe 2.36
Fe (0.0000, 0.3426, 0.0000)  2 B 2.12, 1 Fe 2.36
Fe (0.0000, 0.3426, 0.6574)  2 B 2.12, 1 Fe 2.36
Fe (0.0000, 0.6574, 0.0000)  2 B 2.12, 1 Fe 2.36
Fe (0.0000, 0.6574, 0.3426)  2 B 2.12, 1 Fe 2.36
Fe (0.1444, 0.6186, 0.6186)  3 B 2.09
Fe (0.3426, 0.0000, 0.0000)  2 B 2.12, 1 Fe 2.36
Fe (0.3426, 0.0000, 0.6574)  2 B 2.12, 1 Fe 2.36
Fe (0.3426, 0.6574, 0.0000)  2 B 2.12, 1 Fe 2.36
Fe (0.3814, 0.3814, 0.3814)  3 B 2.09
Fe (0.3814, 0.3814, 0.8556)  3 B 2.09
Fe (0.3814, 0.8556, 0.3814)  3 B 2.09
Fe (0.6186, 0.1444, 0.6186)  3 B 2.09
Fe (0.6186, 0.6186, 0.1444)  3 B 2.09
Fe (0.6186, 0.6186, 0.6186)  3 B 2.09
Fe (0.6574, 0.0000, 0.0000)  2 B 2.12, 1 Fe 2.36
Fe (0.6574, 0.0000, 0.3426)  2 B 2.12, 1 Fe 2.36
Fe (0.6574, 0.3426, 0.0000)  2 B 2.12, 1 Fe 2.36
Fe (0.8556, 0.3814, 0.3814)  3 B 2.09
Tc (0.2500, 0.2500, 0.2500)  4 Fe 2.41
Tc (0.7500, 0.7500, 0.7500)  4 Fe 2.41
B (0.2762, 0.2762, 0.7238)  8 Fe 2.09-2.12
B (0.2762, 0.7238, 0.2762)  8 Fe 2.09-2.12
B (0.2762, 0.7238, 0.7238)  8 Fe 2.09-2.12
B (0.7238, 0.2762, 0.2762)  8 Fe 2.09-2.12
B (0.7238, 0.2762, 0.7238)  8 Fe 2.09-2.12
B (0.7238, 0.7238, 0.2762)  8 Fe 2.09-2.12

Output
Total energy, eV per atom: -8.413
DOS(E_F), states/eV/atom: 0.98
Crystal system: cubic
SG: Fm-3m
Mass density, g/cm3: 8.0



# 9
Below is an optimized crystal structure of Pm5ErTh2, with properties calculated at the PBE-GGA level.

abc: 8.9500 8.9500 8.9500
angles: 157.17 101.12 83.43
With the nearest neighbours (Å) after each atom.
Element x y z (fractional)
Pm (0.0000, 0.0000, 0.0000)  2 Th 3.45, 10 Pm 3.54-3.68
Pm (0.1094, 0.3702, 0.7392)  3 Th 3.32-3.67, 7 Pm 3.47-3.68
Pm (0.3690, 0.6298, 0.7392)  3 Th 3.32-3.67, 7 Pm 3.47-3.68
Pm (0.6310, 0.3702, 0.2608)  3 Th 3.32-3.67, 7 Pm 3.47-3.68
Pm (0.8906, 0.6298, 0.2608)  3 Th 3.32-3.67, 7 Pm 3.47-3.68
Er (0.5000, 0.0000, 0.5000)  2 Er 3.54, 4 Th 3.68, 8 Pm 3.87
Th (0.2582, 0.2582, 0.0000)  7 Pm 3.32-3.67, 2 Th 3.54, 2 Er 3.68
Th (0.7418, 0.7418, 0.0000)  7 Pm 3.32-3.67, 2 Th 3.54, 2 Er 3.68

Output
Total energy, eV per atom: -5.290
DOS(E_F), states/eV/atom: 1.59
Crystal system: orthorhombic
SG: Immm
Mass density, g/cm3: 8.4



# 10
Below is an optimized crystal structure of AcGa11Ir, with properties calculated at the PBE-GGA level.

abc: 6.7679 6.7679 8.0144
angles: 97.10 97.10 134.35
With the nearest neighbours (Å) after each atom.
Element x y z (fractional)
Ac (0.0000, 0.0000, 0.0000)  16 Ga 3.38-3.56
Ga (0.0000, 0.0000, 0.5000)  2 Ir 2.63, 8 Ga 2.76-2.77
Ga (0.0000, 0.5000, 0.0000)  6 Ga 2.63-2.84
Ga (0.0235, 0.3737, 0.3692)  1 Ir 2.71, 5 Ga 2.73-2.98
Ga (0.2677, 0.4902, 0.7615)  1 Ir 2.75, 7 Ga 2.76-2.98
Ga (0.3737, 0.0235, 0.3692)  1 Ir 2.71, 5 Ga 2.73-2.98
Ga (0.4902, 0.2677, 0.7615)  1 Ir 2.75, 7 Ga 2.76-2.98
Ga (0.5000, 0.0000, 0.0000)  6 Ga 2.63-2.84
Ga (0.5098, 0.7323, 0.2385)  1 Ir 2.75, 7 Ga 2.76-2.98
Ga (0.6263, 0.9765, 0.6308)  1 Ir 2.71, 5 Ga 2.73-2.98
Ga (0.7323, 0.5098, 0.2385)  1 Ir 2.75, 7 Ga 2.76-2.98
Ga (0.9765, 0.6263, 0.6308)  1 Ir 2.71, 5 Ga 2.73-2.98
Ir (0.5000, 0.5000, 0.5000)  10 Ga 2.63-2.75

Output
Total energy, eV per atom: -3.780
DOS(E_F), states/eV/atom: 0.37
Crystal system: monoclinic
SG: C2/m
Mass density, g/cm3: 7.9



# 11
Below is an optimized crystal structure of ErZnSi, with properties calculated at the PBE-GGA level.

abc: 5.6570 5.6570 5.6570
angles: 145.42 145.42 49.71
With the nearest neighbours (Å) after each atom.
Element x y z (fractional)
Er (0.0000, 0.0000, 0.0000)  5 Si 3.08-3.18, 5 Zn 3.09-3.16, 4 Er 3.36
Zn (0.3073, 0.3073, 0.0000)  4 Si 2.66
Si (0.6905, 0.6905, 0.0000)  4 Zn 2.66

Output
Total energy, eV per atom: -3.940
DOS(E_F), states/eV/atom: 0.71
Crystal system: tetragonal
SG: I4mm
ΔE_f (raw), eV/atom: -0.19
Mass density, g/cm3: 7.5



# 12
Below is an optimized crystal structure of Er4Ge6Ru7, with properties calculated at the PBE-GGA level.

abc: 7.2205 7.2205 7.2205
angles: 109.47 109.47 109.47
With the nearest neighbours (Å) after each atom.
Element x y z (fractional)
Er (0.0000, 0.0000, 0.5000)  6 Ru 2.95, 6 Ge 3.00
Er (0.0000, 0.5000, 0.0000)  6 Ru 2.95, 6 Ge 3.00
Er (0.5000, 0.0000, 0.0000)  6 Ru 2.95, 6 Ge 3.00
Er (0.5000, 0.5000, 0.5000)  6 Ru 2.95, 6 Ge 3.00
Ge (0.0000, 0.3150, 0.3150)  5 Ru 2.59-2.63
Ge (0.0000, 0.6850, 0.6850)  5 Ru 2.59-2.63
Ge (0.3150, 0.0000, 0.3150)  5 Ru 2.59-2.63
Ge (0.3150, 0.3150, 0.0000)  5 Ru 2.59-2.63
Ge (0.6850, 0.0000, 0.6850)  5 Ru 2.59-2.63
Ge (0.6850, 0.6850, 0.0000)  5 Ru 2.59-2.63
Ru (0.0000, 0.0000, 0.0000)  6 Ge 2.63
Ru (0.2500, 0.5000, 0.7500)  4 Ge 2.59
Ru (0.2500, 0.7500, 0.5000)  4 Ge 2.59
Ru (0.5000, 0.2500, 0.7500)  4 Ge 2.59
Ru (0.5000, 0.7500, 0.2500)  4 Ge 2.59
Ru (0.7500, 0.2500, 0.5000)  4 Ge 2.59
Ru (0.7500, 0.5000, 0.2500)  4 Ge 2.59

Output
Total energy, eV per atom: -7.155
DOS(E_F), states/eV/atom: 0.84
Crystal system: cubic
SG: Im-3m
Mass density, g/cm3: 10.4



Ordered magnetization results: 0.599; 0.000; 0.000; 0.000; 0.000; 0.174; 0.821; 1.302; 0.000; 0.000; 0.000; 0.000; unit μB/atom.